[1]
# Sr2ZnGa PBE optimized geometry
# calculated total energy = -1.397 eV per atom
# magnetic moment = 0.00 μB/cell
# N(E_F) = 1.32 states/eV per atom
data_Sr2ZnGa
_cell_length_a 3.8927
_cell_length_b 6.8054
_cell_length_c 12.8782
_cell_angle_alpha 90.00
_cell_angle_beta 90.00
_cell_angle_gamma 90.00
_symmetry_space_group_name_H-M 'I m m m'
_symmetry_Int_Tables_number 71
_symmetry_space_group_name_Hall '-I 2 2'
loop_
_atom_site_label
_atom_site_type_symbol
_atom_site_fract_x
_atom_site_fract_y
_atom_site_fract_z
Sr1 Sr 0.0000 0.0000 0.2461
Zn1 Zn 0.0000 0.0000 0.0000
Ga1 Ga 0.0000 0.0000 0.5000

***

[2]
# MnFeAg2 PBE optimized geometry
# calculated total energy = -5.442 eV per atom
# magnetic moment = 6.57 μB/cell
# N(E_F) = 1.02 states/eV per atom
data_MnFeAg2
_cell_length_a 3.9239
_cell_length_b 3.9634
_cell_length_c 4.0208
_cell_angle_alpha 90.00
_cell_angle_beta 90.00
_cell_angle_gamma 90.00
_symmetry_space_group_name_H-M 'P m m m'
_symmetry_Int_Tables_number 47
_symmetry_space_group_name_Hall '-P 2 2'
loop_
_atom_site_label
_atom_site_type_symbol
_atom_site_fract_x
_atom_site_fract_y
_atom_site_fract_z
Mn1 Mn 0.0000 0.0000 0.0000
Fe1 Fe 0.5000 0.5000 0.0000
Ag1 Ag 0.0000 0.5000 0.5000
Ag2 Ag 0.5000 0.0000 0.5000

***

[3]
# CsSrLaCl6 PBE optimized geometry
# magnetic moment = 0.00 μB/cell
# N(E_F) = 0.00 states/eV per atom
# E_form (uncorrected) = -2.294 eV/atom
data_CsSrLaCl6
_cell_length_a 10.1842
_cell_length_b 10.5761
_cell_length_c 14.9552
_cell_angle_alpha 90.00
_cell_angle_beta 90.00
_cell_angle_gamma 90.00
_symmetry_space_group_name_H-M 'I m m a'
_symmetry_Int_Tables_number 74
_symmetry_space_group_name_Hall '-I 2b 2'
loop_
_atom_site_label
_atom_site_type_symbol
_atom_site_fract_x
_atom_site_fract_y
_atom_site_fract_z
Cs1 Cs 0.0000 0.2500 0.0629
Sr1 Sr 0.2500 0.2500 0.7500
La1 La 0.0000 0.0000 0.5000
Cl1 Cl 0.0000 0.2500 0.4346
Cl2 Cl 0.0000 0.2500 0.8364
Cl3 Cl 0.2017 0.0480 0.6206

***

[4]
# NaZn2Rh2 PBE optimized geometry
# calculated total energy = -3.689 eV per atom
# magnetic moment = 0.00 μB/cell
# N(E_F) = 0.98 states/eV per atom
data_NaZn2Rh2
_cell_length_a 3.8834
_cell_length_b 3.8834
_cell_length_c 11.6280
_cell_angle_alpha 90.00
_cell_angle_beta 90.00
_cell_angle_gamma 90.00
_symmetry_space_group_name_H-M 'I 4/m m m'
_symmetry_Int_Tables_number 139
_symmetry_space_group_name_Hall '-I 4 2'
loop_
_atom_site_label
_atom_site_type_symbol
_atom_site_fract_x
_atom_site_fract_y
_atom_site_fract_z
Na1 Na 0.0000 0.0000 0.0000
Zn1 Zn 0.0000 0.0000 0.3929
Rh1 Rh 0.0000 0.5000 0.2500

***

[5]
# ScIr2 PBE optimized geometry
# calculated total energy = -8.423 eV per atom
# magnetic moment = 0.00 μB/cell
# N(E_F) = 1.34 states/eV per atom
data_ScIr2
_cell_length_a 2.8472
_cell_length_b 3.9200
_cell_length_c 8.7080
_cell_angle_alpha 90.00
_cell_angle_beta 90.00
_cell_angle_gamma 90.00
_symmetry_space_group_name_H-M 'I m m m'
_symmetry_Int_Tables_number 71
_symmetry_space_group_name_Hall '-I 2 2'
loop_
_atom_site_label
_atom_site_type_symbol
_atom_site_fract_x
_atom_site_fract_y
_atom_site_fract_z
Sc1 Sc 0.0000 0.0000 0.0000
Ir1 Ir 0.0000 0.0000 0.3219

***

[6]
# Tb5PmGe4 PBE optimized geometry
# calculated total energy = -5.279 eV per atom
# magnetic moment = 0.00 μB/cell
# N(E_F) = 0.53 states/eV per atom
data_Tb5PmGe4
_cell_length_a 15.2865
_cell_length_b 5.0201
_cell_length_c 6.9417
_cell_angle_alpha 90.00
_cell_angle_beta 90.45
_cell_angle_gamma 90.00
_symmetry_space_group_name_H-M 'C 1 2/m 1'
_symmetry_Int_Tables_number 12
_symmetry_space_group_name_Hall '-C 2y'
loop_
_atom_site_label
_atom_site_type_symbol
_atom_site_fract_x
_atom_site_fract_y
_atom_site_fract_z
Tb1 Tb 0.0000 0.0000 0.0000
Tb2 Tb 0.1645 0.5000 0.4942
Tb3 Tb 0.1652 0.5000 0.0101
Pm1 Pm 0.0000 0.0000 0.5000
Ge1 Ge 0.0104 0.5000 0.7552
Ge2 Ge 0.1802 0.0000 0.2488

***

[7]
# Pm8PrMg2 PBE optimized geometry
# calculated total energy = -4.064 eV per atom
# magnetic moment = 0.00 μB/cell
# N(E_F) = 1.26 states/eV per atom
data_Pm8PrMg2
_cell_length_a 8.9575
_cell_length_b 15.9051
_cell_length_c 5.8848
_cell_angle_alpha 90.00
_cell_angle_beta 118.56
_cell_angle_gamma 90.00
_symmetry_space_group_name_H-M 'C 1 2/m 1'
_symmetry_Int_Tables_number 12
_symmetry_space_group_name_Hall '-C 2y'
loop_
_atom_site_label
_atom_site_type_symbol
_atom_site_fract_x
_atom_site_fract_y
_atom_site_fract_z
Pm1 Pm 0.0000 0.2112 0.0000
Pm2 Pm 0.0856 0.5000 0.7933
Pm3 Pm 0.2122 0.1152 0.6449
Pr1 Pr 0.0000 0.0000 0.0000
Mg1 Mg 0.0000 0.3075 0.5000

***

[8]
# AcPr4Tm PBE optimized geometry
# calculated total energy = -4.030 eV per atom
# magnetic moment = 0.00 μB/cell
# N(E_F) = 2.01 states/eV per atom
data_AcPr4Tm
_cell_length_a 4.7568
_cell_length_b 4.7568
_cell_length_c 11.2268
_cell_angle_alpha 90.00
_cell_angle_beta 90.00
_cell_angle_gamma 90.00
_symmetry_space_group_name_H-M 'P 4/m m m'
_symmetry_Int_Tables_number 123
_symmetry_space_group_name_Hall '-P 4 2'
loop_
_atom_site_label
_atom_site_type_symbol
_atom_site_fract_x
_atom_site_fract_y
_atom_site_fract_z
Ac1 Ac 0.0000 0.0000 0.0000
Pr1 Pr 0.0000 0.5000 0.2671
Tm1 Tm 0.5000 0.5000 0.5000

***

[9]
# TeHAu PBE optimized geometry
# calculated total energy = -3.248 eV per atom
# magnetic moment = 0.00 μB/cell
# N(E_F) = 0.41 states/eV per atom
data_TeHAu
_cell_length_a 4.3830
_cell_length_b 6.3553
_cell_length_c 6.4748
_cell_angle_alpha 119.36
_cell_angle_beta 109.24
_cell_angle_gamma 90.01
_symmetry_space_group_name_H-M 'P 1'
_symmetry_Int_Tables_number 1
_symmetry_space_group_name_Hall 'P 1'
loop_
_atom_site_label
_atom_site_type_symbol
_atom_site_fract_x
_atom_site_fract_y
_atom_site_fract_z
Te1 Te 0.0000 0.0000 0.0000
Te2 Te 0.0573 0.5464 0.0930
H1 H 0.7212 0.2956 0.4723
H2 H 0.7248 0.1769 0.4730
Au1 Au 0.3579 0.8544 0.7086
Au2 Au 0.7010 0.6935 0.3873

***

[10]
# RbSn3Pt5 PBE optimized geometry
# calculated total energy = -5.217 eV per atom
# magnetic moment = 0.00 μB/cell
# N(E_F) = 0.36 states/eV per atom
data_RbSn3Pt5
_cell_length_a 4.2558
_cell_length_b 13.9251
_cell_length_c 13.5051
_cell_angle_alpha 90.00
_cell_angle_beta 90.00
_cell_angle_gamma 90.00
_symmetry_space_group_name_H-M 'C m c m'
_symmetry_Int_Tables_number 63
_symmetry_space_group_name_Hall '-C 2c 2'
loop_
_atom_site_label
_atom_site_type_symbol
_atom_site_fract_x
_atom_site_fract_y
_atom_site_fract_z
Rb1 Rb 0.0000 0.1743 0.2500
Sn1 Sn 0.0000 0.0995 0.7500
Sn2 Sn 0.0000 0.3759 0.5438
Pt1 Pt 0.0000 0.0000 0.0000
Pt2 Pt 0.0000 0.1905 0.5686
Pt3 Pt 0.0000 0.4546 0.1415

***

[11]
# Pr5Ni2Pb PBE optimized geometry
# calculated total energy = -5.196 eV per atom
# magnetic moment = 0.00 μB/cell
# N(E_F) = 0.96 states/eV per atom
data_Pr5Ni2Pb
_cell_length_a 8.0501
_cell_length_b 8.0501
_cell_length_c 13.8583
_cell_angle_alpha 90.00
_cell_angle_beta 90.00
_cell_angle_gamma 90.00
_symmetry_space_group_name_H-M 'I 4/m c m'
_symmetry_Int_Tables_number 140
_symmetry_space_group_name_Hall '-I 4 2c'
loop_
_atom_site_label
_atom_site_type_symbol
_atom_site_fract_x
_atom_site_fract_y
_atom_site_fract_z
Pr1 Pr 0.0000 0.0000 0.0000
Pr2 Pr 0.1573 0.3427 0.1360
Ni1 Ni 0.1264 0.3736 0.5000
Pb1 Pb 0.0000 0.0000 0.2500

***

[12]
# AlReTe4 PBE optimized geometry
# magnetic moment = 21.53 μB/cell
# N(E_F) = 0.55 states/eV per atom
# E_form (uncorrected) = 1.328 eV/atom
data_AlReTe4
_cell_length_a 8.9592
_cell_length_b 8.9592
_cell_length_c 8.9592
_cell_angle_alpha 90.00
_cell_angle_beta 90.00
_cell_angle_gamma 90.00
_symmetry_space_group_name_H-M 'F -4 3 m'
_symmetry_Int_Tables_number 216
_symmetry_space_group_name_Hall 'F -4 2 3'
loop_
_atom_site_label
_atom_site_type_symbol
_atom_site_fract_x
_atom_site_fract_y
_atom_site_fract_z
Al1 Al 0.0000 0.0000 0.0000
Re1 Re 0.2500 0.2500 0.7500
Te1 Te 0.1245 0.1245 0.3755

***

[13]
# U3In5N12 PBE optimized geometry
# magnetic moment = 0.00 μB/cell
# N(E_F) = 0.38 states/eV per atom
# E_form (uncorrected) = -0.036 eV/atom
data_U3In5N12
_cell_length_a 12.9989
_cell_length_b 12.9989
_cell_length_c 12.9989
_cell_angle_alpha 90.00
_cell_angle_beta 90.00
_cell_angle_gamma 90.00
_symmetry_space_group_name_H-M 'I a -3 d'
_symmetry_Int_Tables_number 230
_symmetry_space_group_name_Hall '-I 4bd 2c 3'
loop_
_atom_site_label
_atom_site_type_symbol
_atom_site_fract_x
_atom_site_fract_y
_atom_site_fract_z
U1 U 0.0000 0.2500 0.1250
In1 In 0.0000 0.0000 0.0000
In2 In 0.0000 0.2500 0.3750
N1 N 0.0149 0.0743 0.6562

***

[14]
# MgSc8Bi2 PBE optimized geometry
# calculated total energy = -5.565 eV per atom
# magnetic moment = 6.52 μB/cell
# N(E_F) = 1.60 states/eV per atom
data_MgSc8Bi2
_cell_length_a 8.1576
_cell_length_b 13.9931
_cell_length_c 5.4917
_cell_angle_alpha 90.00
_cell_angle_beta 117.19
_cell_angle_gamma 90.00
_symmetry_space_group_name_H-M 'C 1 2/m 1'
_symmetry_Int_Tables_number 12
_symmetry_space_group_name_Hall '-C 2y'
loop_
_atom_site_label
_atom_site_type_symbol
_atom_site_fract_x
_atom_site_fract_y
_atom_site_fract_z
Mg1 Mg 0.0000 0.0000 0.0000
Sc1 Sc 0.0000 0.2186 0.0000
Sc2 Sc 0.0905 0.5000 0.8068
Sc3 Sc 0.2102 0.1101 0.6305
Bi1 Bi 0.0000 0.3045 0.5000

***

[15]
# Zr5H6 PBE optimized geometry
# calculated total energy = -5.961 eV per atom
# magnetic moment = 0.00 μB/cell
# N(E_F) = 0.53 states/eV per atom
data_Zr5H6
_cell_length_a 5.5035
_cell_length_b 9.6125
_cell_length_c 5.4422
_cell_angle_alpha 90.00
_cell_angle_beta 109.26
_cell_angle_gamma 90.00
_symmetry_space_group_name_H-M 'C 1 2/m 1'
_symmetry_Int_Tables_number 12
_symmetry_space_group_name_Hall '-C 2y'
loop_
_atom_site_label
_atom_site_type_symbol
_atom_site_fract_x
_atom_site_fract_y
_atom_site_fract_z
Zr1 Zr 0.0000 0.0000 0.0000
Zr2 Zr 0.0000 0.1661 0.5000
Zr3 Zr 0.0000 0.3357 0.0000
H1 H 0.2370 0.1769 0.2386
H2 H 0.2386 0.0000 0.7603

***

[16]
# GaCoRe2Ag PBE optimized geometry
# calculated total energy = -5.807 eV per atom
# magnetic moment = 1.61 μB/cell
# N(E_F) = 1.41 states/eV per atom
data_GaCoRe2Ag
_cell_length_a 4.5767
_cell_length_b 4.5767
_cell_length_c 4.2588
_cell_angle_alpha 90.00
_cell_angle_beta 90.00
_cell_angle_gamma 90.00
_symmetry_space_group_name_H-M 'P 4/m m m'
_symmetry_Int_Tables_number 123
_symmetry_space_group_name_Hall '-P 4 2'
loop_
_atom_site_label
_atom_site_type_symbol
_atom_site_fract_x
_atom_site_fract_y
_atom_site_fract_z
Ga1 Ga 0.0000 0.0000 0.0000
Co1 Co 0.0000 0.0000 0.5000
Re1 Re 0.0000 0.5000 0.0000
Ag1 Ag 0.5000 0.5000 0.5000

***

[17]
# NaInSnGe PBE optimized geometry
# calculated total energy = -3.144 eV per atom
# magnetic moment = 0.00 μB/cell
# N(E_F) = 0.30 states/eV per atom
data_NaInSnGe
_cell_length_a 7.3820
_cell_length_b 7.3820
_cell_length_c 7.3820
_cell_angle_alpha 90.00
_cell_angle_beta 90.00
_cell_angle_gamma 90.00
_symmetry_space_group_name_H-M 'F -4 3 m'
_symmetry_Int_Tables_number 216
_symmetry_space_group_name_Hall 'F -4 2 3'
loop_
_atom_site_label
_atom_site_type_symbol
_atom_site_fract_x
_atom_site_fract_y
_atom_site_fract_z
Na1 Na 0.0000 0.0000 0.0000
In1 In 0.2500 0.2500 0.2500
Sn1 Sn 0.2500 0.2500 0.7500
Ge1 Ge 0.0000 0.0000 0.5000

***

[18]
# Rb3TcBi3S8 PBE optimized geometry
# magnetic moment = 9.08 μB/cell
# N(E_F) = 0.01 states/eV per atom
# E_form (uncorrected) = -0.650 eV/atom
data_Rb3TcBi3S8
_cell_length_a 8.0787
_cell_length_b 8.0787
_cell_length_c 23.6140
_cell_angle_alpha 90.00
_cell_angle_beta 90.00
_cell_angle_gamma 120.00
_symmetry_space_group_name_H-M 'R -3 m'
_symmetry_Int_Tables_number 166
_symmetry_space_group_name_Hall '-R 3 2"'
loop_
_atom_site_label
_atom_site_type_symbol
_atom_site_fract_x
_atom_site_fract_y
_atom_site_fract_z
Rb1 Rb 0.0000 0.5000 0.0000
Tc1 Tc 0.0000 0.0000 0.5000
Bi1 Bi 0.0000 0.5000 0.5000
S1 S 0.0000 0.0000 0.2346
S2 S 0.0390 0.5195 0.2261

***

[19]
# BeAg3 PBE optimized geometry
# calculated total energy = -2.894 eV per atom
# magnetic moment = 0.00 μB/cell
# N(E_F) = 0.25 states/eV per atom
data_BeAg3
_cell_length_a 2.9017
_cell_length_b 2.9017
_cell_length_c 25.9626
_cell_angle_alpha 90.00
_cell_angle_beta 90.00
_cell_angle_gamma 120.00
_symmetry_space_group_name_H-M 'R -3 m'
_symmetry_Int_Tables_number 166
_symmetry_space_group_name_Hall '-R 3 2"'
loop_
_atom_site_label
_atom_site_type_symbol
_atom_site_fract_x
_atom_site_fract_y
_atom_site_fract_z
Be1 Be 0.0000 0.0000 0.0000
Ag1 Ag 0.0000 0.0000 0.2616
Ag2 Ag 0.0000 0.0000 0.5000

***

[20]
# SmHo2TmTe6 PBE optimized geometry
# magnetic moment = 0.00 μB/cell
# E_form (uncorrected) = -1.352 eV/atom
data_SmHo2TmTe6
_cell_length_a 7.6959
_cell_length_b 7.6959
_cell_length_c 21.0588
_cell_angle_alpha 90.00
_cell_angle_beta 90.00
_cell_angle_gamma 120.00
_symmetry_space_group_name_H-M 'R 3'
_symmetry_Int_Tables_number 146
_symmetry_space_group_name_Hall 'R 3'
loop_
_atom_site_label
_atom_site_type_symbol
_atom_site_fract_x
_atom_site_fract_y
_atom_site_fract_z
Sm1 Sm 0.0000 0.0000 0.0000
Ho1 Ho 0.0000 0.0000 0.3123
Ho2 Ho 0.0000 0.0000 0.8137
Tm1 Tm 0.0000 0.0000 0.4981
Te1 Te 0.0001 0.3176 0.9042
Te2 Te 0.0086 0.6948 0.4060